(1)
## CrAu2Br (meta-GGA SCAN)

Data for a crystal of CrAu2Br relaxed with PBEsol.

abc: 3.1898 4.6698 6.3929
angles: 103.40 90.00 109.97
Closest atoms and distances in Å follow each position.
Sites, in units of the cell vectors:
1 Cr 0.2160 0.4320 0.8231  2 Br 2.45, 5 Au 2.65-2.72
2 Au 0.7167 0.4334 0.1674  3 Au 2.71-2.79, 2 Cr 2.72, 1 Br 2.74
3 Au 0.9597 0.9194 0.9757  3 Cr 2.65-2.66, 3 Au 2.71-2.79
4 Br 0.6076 0.2152 0.5338  2 Cr 2.45, 1 Au 2.74

Computed properties:
excess energy over the best structure of this formula in the dataset: 0.00 eV/f.u.



(2)
## Cr2PAuBr (meta-GGA SCAN)

Data for a crystal of Cr2PAuBr relaxed with PBEsol.

abc: 4.5764 4.5764 4.9237
angles: 90.00 90.00 90.00
Closest atoms and distances in Å follow each position.
Sites, in units of the cell vectors:
1 Cr 0.5000 0.0000 0.0000  2 P 2.29
2 Cr 0.0000 0.5000 0.0000  2 P 2.29
3 Br 0.0000 0.0000 0.5000  2 P 2.46
4 Au 0.5000 0.5000 0.5000  4 Br 3.24, 8 Cr 3.36
5 P 0.0000 0.0000 0.0000  4 Cr 2.29, 2 Br 2.46

Computed properties:
DFT total energy: -26.700 eV per atom



(3)
## CrAuSe2Br (meta-GGA SCAN)

Data for a crystal of CrAuSe2Br relaxed with PBEsol.

abc: 4.6595 4.6595 5.0474
angles: 90.00 90.00 90.00
Closest atoms and distances in Å follow each position.
Sites, in units of the cell vectors:
1 Se 0.5000 0.0000 0.0000  2 Cr 2.33
2 Se 0.0000 0.5000 0.0000  2 Cr 2.33
3 Cr 0.0000 0.0000 0.0000  4 Se 2.33, 2 Br 2.52
4 Au 0.5000 0.5000 0.5000  4 Br 3.29, 8 Se 3.43
5 Br 0.0000 0.0000 0.5000  2 Cr 2.52

Computed properties:
DFT total energy: -29.175 eV per atom